VASP calculation (GGA-PBE) on Ho5Er4Tm3 after structural relaxation.

Fermi-level density of states: 19.65 states/eV per cell
E above lowest polymorph: 2.755 eV per formula unit
ΔE_f: 0.253 eV per atom

```
Ho5Er4Tm3
1.0
5.779 0.000 0.000
2.890 7.488 -2.652
2.890 -0.883 8.975
Ho Tm Er
5 3 4
Direct
0.500 0.500 0.500
0.212 0.461 0.115
0.372 0.054 0.202
0.788 0.539 0.885
0.628 0.946 0.798
0.000 0.500 0.500
0.478 0.312 0.731
0.522 0.688 0.269
0.836 0.949 0.378
0.164 0.051 0.622
0.859 0.221 0.061
0.141 0.779 0.939
```